Here is a relaxed structure of RbLaTc2O8 from Alexandria via LeMat-Bulk. Energies are from PBE.

The structure in extended XYZ format:
```
12
Lattice="2.8086 1.6216 8.7013 -2.8086 1.6216 8.7013 0.0000 -3.2431 8.7013" Properties=species:S:1:pos:R:3 pbc="T T T"
Rb 0.0000 0.0000 0.0000
La 0.0000 0.0000 13.0519
Tc 0.0000 0.0000 6.4823
Tc 0.0000 0.0000 19.6215
O -1.1209 -1.5211 11.5418
O -0.7568 -1.7313 14.5620
O 0.0000 0.0000 8.2345
O -0.7568 1.7313 11.5418
O -1.1209 1.5211 14.5620
O 0.0000 0.0000 17.8693
O 1.8777 -0.2102 11.5418
O 1.8777 0.2102 14.5620
```

Results
- Volume: 19.81 Å³ per atom
- Density: 3.83 Mg/m³
- Symmetry: R32
- Size of the total moment: 2.02 Bohr magnetons per cell
- Raw total energy: -7.414 eV per atom

***

Here is a relaxed structure of LaSnPt5 from Alexandria via LeMat-Bulk. Energies are from PBE.

The structure in extended XYZ format:
```
28
Lattice="8.9104 0.0000 0.0000 0.0000 5.5015 0.0000 0.0000 0.0000 10.9416" Properties=species:S:1:pos:R:3 pbc="T T T"
La 2.2246 1.3754 0.5710
La 2.2306 4.1262 6.0418
La 6.6798 1.3754 4.8998
La 6.6858 4.1262 10.3706
Sn 1.3475 1.3754 3.8549
Sn 3.1077 4.1262 9.3257
Sn 5.8027 1.3754 1.6159
Sn 7.5629 4.1262 7.0867
Pt 0.5229 1.3754 6.3437
Pt 0.5863 2.7863 8.7357
Pt 0.5863 5.4660 8.7357
Pt 0.8077 4.1262 0.1811
Pt 1.6376 4.1262 2.8339
Pt 2.8177 1.3754 8.3048
Pt 3.6475 1.3754 5.6519
Pt 3.8689 0.0356 3.2649
Pt 3.8689 2.7152 3.2649
Pt 3.9323 4.1262 0.8729
Pt 4.9781 1.3754 10.0688
Pt 5.0415 2.7863 7.6768
Pt 5.0415 5.4660 7.6768
Pt 5.2630 4.1262 5.2897
Pt 6.0928 4.1262 2.6369
Pt 7.2729 1.3754 8.1077
Pt 8.1027 1.3754 10.7605
Pt 8.3241 0.0356 2.2059
Pt 8.3241 2.7152 2.2059
Pt 8.3875 4.1262 4.5979
```

Results
- Energy relative to the elements: -0.71 eV/atom
- Volume: 19.16 Å³ per atom
- Density: 15.27 Mg/m³
- Symmetry: Pnma
- Size of the total moment: 0.00 Bohr magnetons per cell

***

Here is a relaxed structure of Pm6Ge2P3Cl from Alexandria via LeMat-Bulk. Energies are from PBE.

The structure in extended XYZ format:
```
12
Lattice="9.1184 -2.0592 0.0000 9.1184 2.0592 0.0000 -1.9879 0.0000 8.2264" Properties=species:S:1:pos:R:3 pbc="T T T"
Pm -0.4418 0.0000 1.9091
Pm 5.1649 0.0000 3.4605
Pm 4.2928 0.0000 7.4903
Pm 11.9561 0.0000 0.7362
Pm 11.0840 0.0000 4.7659
Pm 16.6908 0.0000 6.3173
Ge 1.3550 0.0000 6.8224
Ge 14.8940 0.0000 1.4040
P 2.3236 0.0000 2.7566
P 9.1184 0.0000 0.0000
P 13.9254 0.0000 5.4698
Cl 8.1245 0.0000 4.1132
```

Results
- Volume: 25.74 Å³ per atom
- Density: 6.15 Mg/m³
- Symmetry: C2/m
- Size of the total moment: 0.00 Bohr magnetons per cell
- Raw total energy: -6.003 eV per atom

***

Here is a relaxed structure of PaCrTe4 from Alexandria via LeMat-Bulk. Energies are from PBE.

The structure in extended XYZ format:
```
12
Lattice="4.3987 -7.2967 0.0000 4.3987 7.2967 0.0000 -4.1788 0.0000 5.5265" Properties=species:S:1:pos:R:3 pbc="T T T"
Pa 1.2647 5.3371 4.1449
Pa 3.3540 -5.3371 1.3816
Cr 3.3540 1.0909 1.3816
Cr 1.2647 -1.0909 4.1449
Te 1.6634 3.1235 2.0106
Te -0.9956 0.5220 4.2289
Te 1.0938 -0.5220 1.4657
Te 5.0447 3.1235 0.7526
Te -0.4260 -3.1235 4.7739
Te 3.5249 0.5220 4.0608
Te 5.6143 -0.5220 1.2976
Te 2.9553 -3.1235 3.5159
```

Results
- Volume: 29.56 Å³ per atom
- Density: 7.43 Mg/m³
- Symmetry: C2/c
- Size of the total moment: 5.98 Bohr magnetons per cell
- Raw total energy: -5.765 eV per atom

***

Here is a relaxed structure of K3Tl3NiBr8 from Alexandria via LeMat-Bulk. Energies are from PBE.

The structure in extended XYZ format:
```
15
Lattice="4.6597 2.6903 7.6862 -4.6597 2.6903 7.6862 0.0000 -5.3805 7.6862" Properties=species:S:1:pos:R:3 pbc="T T T"
K -2.3298 -1.3451 7.6862
K -2.3298 1.3451 15.3724
K 0.0000 2.6903 7.6862
Tl -4.6597 0.0000 11.5293
Tl -2.3298 1.3451 3.8431
Tl 2.3298 1.3451 3.8431
Ni 0.0000 0.0000 0.0000
Br 0.0000 -3.2310 9.2040
Br -2.7981 1.6155 9.2040
Br -2.7981 -1.6155 13.8546
Br 0.0000 0.0000 5.8225
Br 0.0000 0.0000 17.2361
Br 2.7981 1.6155 9.2040
Br 2.7981 -1.6155 13.8546
Br 0.0000 3.2310 13.8546
```

Results
- Volume: 38.54 Å³ per atom
- Density: 4.10 Mg/m³
- Symmetry: R-3m
- Size of the total moment: 2.10 Bohr magnetons per cell
- Raw total energy: -3.048 eV per atom

***

Here is a relaxed structure of LiSnPbCl5 from Alexandria via LeMat-Bulk. Energies are from PBE.

The structure in extended XYZ format:
```
16
Lattice="4.9220 -5.4244 0.0000 4.9220 5.4244 0.0000 -3.3488 0.0000 8.8466" Properties=species:S:1:pos:R:3 pbc="T T T"
Li 2.4610 2.7122 0.0000
Li 0.7866 -2.7122 4.4233
Sn 2.4105 5.4075 6.6350
Sn 4.0849 -5.4075 2.2117
Pb 2.4105 0.4773 6.6350
Pb 4.0849 -0.4773 2.2117
Cl 1.3675 3.5375 8.0531
Cl 3.4535 3.5375 5.2168
Cl -0.1351 0.2104 8.2455
Cl 4.0849 2.1584 2.2117
Cl 1.5393 -0.2104 3.8222
Cl 4.9561 0.2104 5.0244
Cl 2.4105 -2.1584 6.6350
Cl 6.6305 -0.2104 0.6011
Cl 3.0419 -3.5375 3.6298
Cl 5.1279 -3.5375 0.7935
```

Results
- Volume: 29.52 Å³ per atom
- Density: 3.59 Mg/m³
- Symmetry: C2/c
- Size of the total moment: 0.00 Bohr magnetons per cell
- Raw total energy: -3.562 eV per atom